# 1
! Li3BiCl (PBE, relaxed); values from VASP
&SYSTEM
  ibrav = 0, nat = 5, ntyp = 3
/
ATOMIC_SPECIES
Li 6.94 Li.upf
Bi 208.98 Bi.upf
Cl 35.45 Cl.upf
ATOMIC_POSITIONS angstrom
Li 0.0000 2.3513 0.0000
Li 0.0000 0.0000 2.3513
Li 2.3513 0.0000 0.0000
Bi 2.3513 2.3513 2.3513
Cl 0.0000 0.0000 0.0000
CELL_PARAMETERS angstrom
4.7026 0.0000 0.0000
0.0000 4.7026 0.0000
0.0000 0.0000 4.7026
! ΔE to the lowest computed polymorph: 0 meV/atom
! Spin magnetization: 0.00 μB/cell
! Space group: Pm-3m
! Energy relative to the elements, uncorrected: -822 meV/atom
! Total DFT energy (no corrections): -15.581 eV for the cell shown
! Density: 4.24 g/cm³

# 2
! As2OsPt (PBE, relaxed); values from VASP
&SYSTEM
  ibrav = 0, nat = 4, ntyp = 3
/
ATOMIC_SPECIES
As 74.92 As.upf
Os 190.23 Os.upf
Pt 195.08 Pt.upf
ATOMIC_POSITIONS angstrom
As 0.0000 0.0000 0.0000
As 1.5546 2.5998 -0.0014
Os 1.5546 4.3564 1.9624
Pt 0.0000 1.7566 1.9637
CELL_PARAMETERS angstrom
3.1091 0.0000 0.0000
0.0000 5.1995 -0.0028
0.0000 3.5133 3.9275
! ΔE to the lowest computed polymorph: 138 meV/atom
! Spin magnetization: 0.00 μB/cell
! Space group: P2/m
! Total DFT energy (no corrections): -25.630 eV for the cell shown
! Density: 13.99 g/cm³
! Energy of formation from the pure elements: 0.23 eV per atom

# 3
! Tl2As2P (PBE, relaxed); values from VASP
&SYSTEM
  ibrav = 0, nat = 10, ntyp = 3
/
ATOMIC_SPECIES
P 30.97 P.upf
Tl 204.38 Tl.upf
As 74.92 As.upf
ATOMIC_POSITIONS angstrom
P 0.0000 0.0000 0.0000
P 3.3462 3.3462 0.0000
Tl 1.2583 4.6045 2.8019
Tl 4.6045 5.4341 2.8019
Tl 5.4341 2.0879 2.8019
Tl 2.0879 1.2583 2.8019
As 2.4611 5.8074 0.0000
As 5.8074 4.2313 0.0000
As 4.2313 0.8851 0.0000
As 0.8851 2.4611 0.0000
CELL_PARAMETERS angstrom
6.6924 0.0000 0.0000
0.0000 6.6924 0.0000
0.0000 0.0000 5.6039
! Spin magnetization: 0.00 μB/cell
! Space group: P4/mbm
! Total DFT energy (no corrections): -36.797 eV for the cell shown
! Density: 7.80 g/cm³
! Energy of formation from the pure elements: 0.21 eV per atom

# 4
! RbCd3Hg3 (PBE, relaxed); values from VASP
&SYSTEM
  ibrav = 0, nat = 14, ntyp = 3
/
ATOMIC_SPECIES
Rb 85.47 Rb.upf
Cd 112.41 Cd.upf
Hg 200.59 Hg.upf
ATOMIC_POSITIONS angstrom
Rb 3.9099 2.0078 5.6469
Rb 1.3033 5.8434 0.3123
Cd 3.9099 5.6408 6.2481
Cd 3.9099 3.1339 1.5465
Cd 3.9099 1.3197 9.6222
Cd 1.3033 2.2104 -0.2890
Cd 1.3033 4.7173 4.4127
Cd 1.3033 6.5315 -3.6631
Hg 3.9099 7.2030 -2.0065
Hg 3.9099 3.7627 -1.3895
Hg 3.9099 5.7829 3.0914
Hg 1.3033 0.6482 7.9657
Hg 1.3033 4.0886 7.3486
Hg 1.3033 2.0683 2.8678
CELL_PARAMETERS angstrom
5.2132 0.0000 0.0000
0.0000 7.1255 -4.5315
0.0000 0.7258 10.4906
! ΔE to the lowest computed polymorph: 0 meV/atom
! Spin magnetization: 0.00 μB/cell
! Space group: P2_1/m
! Total DFT energy (no corrections): -10.588 eV for the cell shown
! Density: 8.36 g/cm³
! Energy of formation from the pure elements: -0.10 eV per atom

# 5
! BaLiPSe4 (PBE, relaxed); values from VASP
&SYSTEM
  ibrav = 0, nat = 14, ntyp = 4
/
ATOMIC_SPECIES
Ba 137.33 Ba.upf
Li 6.94 Li.upf
P 30.97 P.upf
Se 78.96 Se.upf
ATOMIC_POSITIONS angstrom
Ba 2.7300 5.4075 7.8650
Ba 1.3676 1.8025 0.5044
Li 4.1506 5.4075 4.0027
Li -0.0531 1.8025 4.3667
P 0.6163 5.4075 2.6439
P 3.4813 1.8025 5.7256
Se -1.6714 3.5458 5.9306
Se 5.7690 7.1508 2.4388
Se 5.7690 3.6643 2.4388
Se -1.6714 0.0593 5.9306
Se 1.9583 5.4075 0.8368
Se 2.1393 1.8025 7.5327
Se 1.5883 5.4075 4.5897
Se 2.5093 1.8025 3.7797
CELL_PARAMETERS angstrom
6.5375 0.0000 0.1022
0.0000 7.2100 0.0000
-2.4399 0.0000 8.2672
! Spin magnetization: 0.00 μB/cell
! Space group: P2_1/m
! Energy relative to the elements, uncorrected: -896 meV/atom
! Total DFT energy (no corrections): -58.916 eV for the cell shown
! Density: 4.17 g/cm³

# 6
! LaErAg (PBE, relaxed); values from VASP
&SYSTEM
  ibrav = 0, nat = 6, ntyp = 3
/
ATOMIC_SPECIES
La 138.91 La.upf
Ag 107.87 Ag.upf
Er 167.26 Er.upf
ATOMIC_POSITIONS angstrom
La 2.6897 4.2662 4.8941
La -1.4912 -0.0921 2.1420
Ag 2.0793 0.5550 2.3549
Ag -0.8807 3.6191 4.6812
Er 0.6933 1.1025 4.9345
Er 0.5053 3.0717 2.1016
CELL_PARAMETERS angstrom
-3.2306 -1.6933 3.2515
3.6066 -2.2451 2.4143
1.0105 6.1433 4.2032
! ΔE to the lowest computed polymorph: 11 meV/atom
! Spin magnetization: 0.00 μB/cell
! Space group: P4/nmm
! Total DFT energy (no corrections): -25.612 eV for the cell shown
! Density: 7.67 g/cm³
! Energy of formation from the pure elements: -0.15 eV per atom

# 7
! CaCrSN2 (PBE, relaxed); values from VASP
&SYSTEM
  ibrav = 0, nat = 5, ntyp = 4
/
ATOMIC_SPECIES
Cr 52.00 Cr.upf
Ca 40.08 Ca.upf
S 32.06 S.upf
N 14.01 N.upf
ATOMIC_POSITIONS angstrom
Cr 0.0000 0.0000 0.0000
Ca 1.8790 1.8790 2.4542
S 0.0000 0.0000 2.4542
N 0.0000 1.8790 0.0000
N 1.8790 0.0000 0.0000
CELL_PARAMETERS angstrom
3.7580 0.0000 0.0000
0.0000 3.7580 0.0000
0.0000 0.0000 4.9083
! ΔE to the lowest computed polymorph: 0 meV/atom
! Spin magnetization: 0.00 μB/cell
! Space group: P4/mmm
! Energy relative to the elements, uncorrected: -399 meV/atom
! Total DFT energy (no corrections): -34.398 eV for the cell shown
! Density: 3.64 g/cm³

# 8
! YCd3In2 (PBE, relaxed); values from VASP
&SYSTEM
  ibrav = 0, nat = 12, ntyp = 3
/
ATOMIC_SPECIES
Y 88.91 Y.upf
Cd 112.41 Cd.upf
In 114.82 In.upf
ATOMIC_POSITIONS angstrom
Y 1.5723 -7.8334 1.3016
Y -2.0499 -3.8133 -1.5153
Cd -1.2961 -9.1011 0.2003
Cd 0.8184 -2.5455 -0.4140
Cd -4.2819 -6.5006 -0.2163
Cd 3.8042 -5.1460 0.0027
Cd -1.3287 -5.9236 0.8956
Cd 0.8511 -5.7230 -1.1092
In 1.0771 -10.9909 0.2230
In -2.0798 -2.8942 1.5673
In -1.5547 -0.6557 -0.4366
In 1.6021 -8.7524 -1.7810
CELL_PARAMETERS angstrom
-1.2696 -4.3145 4.0124
-5.8243 -1.9718 -2.0350
6.6163 -5.3603 -2.1910
! Spin magnetization: 0.00 μB/cell
! Space group: P-1
! Total DFT energy (no corrections): -31.212 eV for the cell shown
! Density: 7.28 g/cm³
! Energy of formation from the pure elements: -0.15 eV per atom

What is the density in the eighth record?
7.28 g/cm³

Among the records above, which one has the highest total DFT energy (no corrections)?
RbCd3Hg3